1.
Compound: TmHfAl2
Source: Alexandria
Functional: PBE
Structure: relaxed

Lattice parameters (Å, degrees): 4.4844 4.4844 4.0713 90.00 90.00 90.00
Closest atoms and distances in Å follow each position.
Space group P4/mmm (No. 123)
Unique sites:
Tm (0.0000, 0.0000, 0.0000) x1  8 Al 3.03, 4 Hf 3.17
Hf (0.5000, 0.5000, 0.0000) x1  8 Al 3.03, 4 Tm 3.17
Al (0.0000, 0.5000, 0.5000) x2  4 Hf 3.03, 4 Tm 3.03, 4 Al 3.17

Results
- Calculated formation energy: -282.8 meV per atom
- Energy above the lowest structure with this stoichiometry: 12 meV per atom
- Mass density: 8.14 g cm⁻³
- Size of the total moment: 0.00 μB per cell
- Density of states at the Fermi level: 2.910 states/eV/cell



2.
Compound: TmHfAl3
Source: Alexandria
Functional: PBE
Structure: relaxed

Lattice parameters (Å, degrees): 5.6739 13.9971 5.1510 90.00 90.00 90.00
Closest atoms and distances in Å follow each position.
Space group Cmcm (No. 63)
Unique sites:
Tm (0.0000, 0.0830, 0.2500) x4  8 Al 3.06-3.32, 2 Hf 3.22
Hf (0.0000, 0.3085, 0.7500) x4  8 Al 2.77-3.02
Al (0.0000, 0.5000, 0.0000) x4  6 Al 2.58-2.72
Al (0.2454, 0.3604, 0.2500) x8  4 Al 2.72-2.89, 3 Hf 2.77-3.02

Results
- Calculated formation energy: -242.6 meV per atom
- Mass density: 6.96 g cm⁻³
- Size of the total moment: 0.00 μB per cell
- Density of states at the Fermi level: 14.294 states/eV/cell



3.
Compound: TmHfAl
Source: Alexandria
Functional: PBE
Structure: relaxed

Lattice parameters (Å, degrees): 3.2529 3.2529 12.7222 90.00 90.00 90.00
Closest atoms and distances in Å follow each position.
Space group I4mm (No. 107)
Unique sites:
Tm (0.0000, 0.0000, 0.0000) x2  4 Al 3.14, 4 Tm 3.25, 4 Hf 3.28
Hf (0.0000, 0.0000, 0.3162) x2  4 Al 2.97, 4 Hf 3.25, 4 Tm 3.28
Al (0.0000, 0.0000, 0.6682) x2  4 Hf 2.97, 4 Tm 3.14, 4 Al 3.25

Results
- Calculated formation energy: -205.0 meV per atom
- Energy above the lowest structure with this stoichiometry: 0 meV per atom
- Mass density: 9.24 g cm⁻³
- Size of the total moment: 0.00 μB per cell
- Density of states at the Fermi level: 4.597 states/eV/cell



4.
Compound: TmHfAl
Source: Alexandria
Functional: PBE
Structure: relaxed

Lattice parameters (Å, degrees): 4.8625 4.8625 3.3660 90.00 90.00 120.00
Closest atoms and distances in Å follow each position.
Space group P3m1 (No. 156)
Unique sites:
Tm (0.0000, 0.0000, 0.0000) x1  3 Al 3.09, 6 Hf 3.21-3.34, 2 Tm 3.37
Hf (0.3333, 0.6667, 0.5393) x1  3 Al 2.86
Al (0.6667, 0.3333, 0.3802) x1  3 Hf 2.86, 3 Tm 3.09

Results
- Calculated formation energy: -44.5 meV per atom
- Energy above the lowest structure with this stoichiometry: 161 meV per atom
- Mass density: 9.02 g cm⁻³
- Size of the total moment: 0.00 μB per cell
- Density of states at the Fermi level: 3.349 states/eV/cell



5.
Compound: Tm2HfAl
Source: Alexandria
Functional: PBE
Structure: relaxed

Lattice parameters (Å, degrees): 3.3605 3.3605 8.5878 90.00 90.00 90.00
Closest atoms and distances in Å follow each position.
Space group P4/mmm (No. 123)
Unique sites:
Tm (0.0000, 0.0000, 0.2338) x2  4 Al 3.11, 4 Hf 3.30, 4 Tm 3.36
Hf (0.5000, 0.5000, 0.5000) x1  8 Tm 3.30, 4 Hf 3.36
Al (0.5000, 0.5000, 0.0000) x1  8 Tm 3.11, 4 Al 3.36

Results
- Calculated formation energy: -144.0 meV per atom
- Energy above the lowest structure with this stoichiometry: 0 meV per atom
- Mass density: 9.30 g cm⁻³
- Size of the total moment: 0.00 μB per cell
- Density of states at the Fermi level: 2.619 states/eV/cell



6.
Compound: HfUAl
Source: Alexandria
Functional: PBE
Structure: relaxed

Lattice parameters (Å, degrees): 2.9746 2.9746 13.6876 90.00 90.00 90.00
Closest atoms and distances in Å follow each position.
Space group I4mm (No. 107)
Unique sites:
Hf (0.0000, 0.0000, 0.0000) x2  4 Hf 2.97, 4 Al 2.99, 4 U 3.22
U (0.0000, 0.0000, 0.6782) x2  4 U 2.97, 4 Al 3.10, 4 Hf 3.22
Al (0.0000, 0.0000, 0.3449) x2  4 Al 2.97, 4 Hf 2.99, 4 U 3.10

Results
- Calculated formation energy: -48.6 meV per atom
- Energy above the lowest structure with this stoichiometry: 0 meV per atom
- Mass density: 12.16 g cm⁻³
- Size of the total moment: 1.05 μB per cell
- Density of states at the Fermi level: 7.455 states/eV/cell



7.
Compound: HfUAl4
Source: Alexandria
Functional: PBE
Structure: relaxed

Lattice parameters (Å, degrees): 7.6545 7.6545 7.6545 90.00 90.00 90.00
Closest atoms and distances in Å follow each position.
Space group F-43m (No. 216)
Unique sites:
Hf (0.0000, 0.0000, 0.0000) x4  12 Al 3.17, 4 U 3.31
U (0.2500, 0.2500, 0.2500) x4  12 Al 3.17, 4 Hf 3.31
Al (0.1250, 0.1250, 0.6250) x16  6 Al 2.71

Results
- Calculated formation energy: -182.7 meV per atom
- Mass density: 7.77 g cm⁻³
- Size of the total moment: 11.36 μB per cell
- Density of states at the Fermi level: 38.298 states/eV/cell



8.
Compound: HfUAl
Source: Alexandria
Functional: PBE
Structure: relaxed

Lattice parameters (Å, degrees): 4.5893 4.5893 21.5375 90.00 90.00 120.00
Closest atoms and distances in Å follow each position.
Space group R-3m (No. 166, hexagonal axes)
Unique sites:
Hf (0.0000, 0.0000, 0.2099) x6  4 Al 2.84-2.89, 1 U 3.08
U (0.0000, 0.0000, 0.3528) x6  3 U 2.78, 3 Al 2.91, 1 Hf 3.08
Al (0.0000, 0.0000, 0.0758) x6  4 Hf 2.84-2.89, 3 U 2.91

Results
- Calculated formation energy: 200.4 meV per atom
- Energy above the lowest structure with this stoichiometry: 249 meV per atom
- Mass density: 11.25 g cm⁻³
- Size of the total moment: 7.95 μB per cell
- Density of states at the Fermi level: 26.453 states/eV/cell



9.
Compound: Hf3AlV
Source: Alexandria
Functional: PBE
Structure: relaxed

Lattice parameters (Å, degrees): 4.8216 4.8216 4.8216 90.00 90.00 90.00
Closest atoms and distances in Å follow each position.
Space group Pm-3m (No. 221)
Unique sites:
Hf (0.0000, 0.0000, 0.5000) x3  2 V 2.41
Al (0.5000, 0.5000, 0.5000) x1  12 Hf 3.41
V (0.0000, 0.0000, 0.0000) x1  6 Hf 2.41

Results
- Calculated formation energy: 711.1 meV per atom
- Energy above the lowest structure with this stoichiometry: 0 meV per atom
- Mass density: 9.09 g cm⁻³
- Size of the total moment: 0.00 μB per cell
- Density of states at the Fermi level: 5.185 states/eV/cell



10.
Compound: HfAl3V
Source: Alexandria
Functional: PBE
Structure: relaxed

Lattice parameters (Å, degrees): 5.0969 5.0969 5.0969 90.00 90.00 90.00
Closest atoms and distances in Å follow each position.
Space group Pm-3m (No. 221)
Unique sites:
Hf (0.0000, 0.0000, 0.0000) x1  6 Al 2.55
Al (0.0000, 0.0000, 0.5000) x3  2 Hf 2.55
V (0.5000, 0.5000, 0.5000) x1  12 Al 3.60

Results
- Calculated formation energy: 1287.2 meV per atom
- Energy above the lowest structure with this stoichiometry: 1250 meV per atom
- Mass density: 3.89 g cm⁻³
- Size of the total moment: 2.55 μB per cell
- Density of states at the Fermi level: 6.404 states/eV/cell



11.
Compound: HfAlV2
Source: Alexandria
Functional: PBE
Structure: relaxed

Lattice parameters (Å, degrees): 7.1904 7.1904 5.3339 90.00 90.00 90.00
Closest atoms and distances in Å follow each position.
Space group I-42d (No. 122)
Unique sites:
Hf (0.0000, 0.0000, 0.0000) x4  2 Al 2.67, 4 V 2.75
Al (0.0000, 0.0000, 0.5000) x4  4 V 2.52, 2 Hf 2.67
V (0.2264, 0.2500, 0.6250) x8  2 Al 2.52, 2 V 2.69, 2 Hf 2.75

Results
- Calculated formation energy: 519.5 meV per atom
- Mass density: 7.40 g cm⁻³
- Size of the total moment: 0.00 μB per cell
- Density of states at the Fermi level: 21.557 states/eV/cell



12.
Compound: HfAl3V
Source: Alexandria
Functional: PBE
Structure: relaxed

Lattice parameters (Å, degrees): 4.6059 4.6059 4.6059 90.00 90.00 90.00
Closest atoms and distances in Å follow each position.
Space group Pm-3m (No. 221)
Unique sites:
Hf (0.0000, 0.0000, 0.0000) x1  12 Al 3.26
Al (0.0000, 0.5000, 0.5000) x3  2 V 2.30
V (0.5000, 0.5000, 0.5000) x1  6 Al 2.30

Results
- Calculated formation energy: 549.9 meV per atom
- Energy above the lowest structure with this stoichiometry: 513 meV per atom
- Mass density: 5.27 g cm⁻³
- Size of the total moment: 0.00 μB per cell
- Density of states at the Fermi level: 5.143 states/eV/cell